A geometry-optimized CaTe2NCl structure, computed with PBEsol.

Computed properties:
- density (g/cm³) = 4.886
- raw total energy (Ry per atom) = -0.249
- DOS(E_F) (states/eV per cell) = 2.990
- space group = P4/mmm, No. 123

Unit cell a=3.490 b=5.795 c=5.795 alpha=90.00 beta=90.00 gamma=90.00
Fractional positions:
1 N 0.500 0.000 0.000
2 Ca 0.500 0.500 0.500
3 Te 0.000 0.000 0.500
4 Te 0.000 0.500 0.000
5 Cl 0.000 0.000 0.000